VASP calculation (PBE+U) on a relaxed La2MgCo2Sb2Pb2O12 crystal.

The excess energy over the best structure of this formula in the dataset comes out at 35.9 meV per atom. As for the total magnetic moment: 4.000 μB per formula unit.

Lattice parameters (Å, degrees): 5.6936 6.1696 8.5441 92.01 92.34 90.79
Last column: nearest neighbours and their distance in Å.
Space group P1 (No. 1)
Inequivalent atoms, fractional coordinates:
La (0.0000, 0.0000, 0.0000) [1 per cell]  6 O 2.38-2.58
La (0.4682, 0.6480, 0.4498) [1 per cell]  7 O 2.46-2.69
Mg (0.8587, 0.4129, 0.8002) [1 per cell]  4 O 1.99-2.16
Co (0.0094, 0.7483, 0.6434) [1 per cell]  3 O 1.96-1.97
Co (0.4552, 0.1040, 0.2644) [1 per cell]  4 O 2.15-2.36
Sb (0.4439, 0.0965, 0.7111) [1 per cell]  6 O 2.02-2.06
Sb (0.9428, 0.5769, 0.2217) [1 per cell]  6 O 2.03-2.05
Pb (0.4125, 0.5249, 0.9949) [1 per cell]  7 O 2.51-2.75
Pb (0.9138, 0.1314, 0.4485) [1 per cell]  3 O 2.42-2.62
O (0.0413, 0.5630, 0.4532) [1 per cell]  1 Co 1.97, 1 Sb 2.04
O (0.1289, 0.3033, 0.1754) [1 per cell]  1 Sb 2.04
O (0.1638, 0.2589, 0.7995) [1 per cell]  1 Mg 1.99, 1 Sb 2.05
O (0.2311, 0.7721, 0.1935) [1 per cell]  1 Sb 2.05
O (0.2637, 0.8390, 0.7944) [1 per cell]  1 Co 1.96, 1 Sb 2.04
O (0.3202, 0.0315, 0.4890) [1 per cell]  1 Sb 2.02, 1 Co 2.16
O (0.5998, 0.3696, 0.6367) [1 per cell]  1 Mg 2.00, 1 Sb 2.03
O (0.6390, 0.4094, 0.2486) [1 per cell]  1 Sb 2.03, 1 Co 2.15
O (0.6497, 0.1668, 0.9062) [1 per cell]  1 Sb 2.03, 1 Mg 2.16
O (0.6971, 0.8819, 0.6408) [1 per cell]  1 Co 1.97, 1 Sb 2.06
O (0.7543, 0.8536, 0.2582) [1 per cell]  1 Sb 2.05
O (0.8736, 0.6144, 0.9879) [1 per cell]  1 Mg 1.99, 1 Sb 2.04



VASP calculation (PBE+U) on a relaxed La2MgCo2Sb2Pb2O12 crystal.

The excess energy over the best structure of this formula in the dataset comes out at 49.9 meV per atom. As for the total magnetic moment: 4.000 μB per formula unit.

Lattice parameters (Å, degrees): 5.7278 5.8355 9.0724 83.11 89.88 83.99
Last column: nearest neighbours and their distance in Å.
Space group P1 (No. 1)
Inequivalent atoms, fractional coordinates:
La (0.0000, 0.0000, 0.0000) [1 per cell]  3 O 2.34-2.57
La (0.3698, 0.5733, 0.4880) [1 per cell]  6 O 2.36-2.59
Mg (0.4291, 0.3430, 0.8571) [1 per cell]  5 O 2.00-2.21
Co (0.4027, 0.9235, 0.7249) [1 per cell]  3 O 2.03-2.17
Co (0.9209, 0.6142, 0.2876) [1 per cell]  2 O 2.00-2.06
Sb (0.4097, 0.1090, 0.2742) [1 per cell]  6 O 2.01-2.09
Sb (0.9102, 0.5358, 0.7617) [1 per cell]  6 O 2.00-2.08
Pb (0.5376, 0.6367, 0.0878) [1 per cell]  4 O 2.40-2.58
Pb (0.8816, 0.0943, 0.5242) [1 per cell]  5 O 2.52-2.75
O (0.1366, 0.3221, 0.3375) [1 per cell]  1 Co 2.00, 1 Sb 2.02
O (0.1413, 0.2365, 0.7566) [1 per cell]  1 Mg 2.07, 1 Sb 2.08, 1 Co 2.28
O (0.2037, 0.6630, 0.8409) [1 per cell]  1 Sb 2.07, 1 Mg 2.15, 1 Co 2.17
O (0.2259, 0.8341, 0.2512) [1 per cell]  1 Sb 2.04, 1 Co 2.27
O (0.3371, 0.1981, 0.0575) [1 per cell]  1 Mg 2.00, 1 Sb 2.01
O (0.4642, 0.9718, 0.4913) [1 per cell]  1 Sb 2.05, 1 Co 2.14
O (0.6077, 0.3696, 0.3097) [1 per cell]  1 Sb 2.05
O (0.6357, 0.3936, 0.6755) [1 per cell]  1 Mg 2.04, 1 Sb 2.05
O (0.7195, 0.9203, 0.2169) [1 per cell]  1 Co 2.06, 1 Sb 2.09
O (0.7291, 0.8327, 0.8140) [1 per cell]  1 Sb 2.03, 1 Co 2.03
O (0.7820, 0.3637, 0.9484) [1 per cell]  1 Sb 2.04, 1 Mg 2.21
O (0.9722, 0.6588, 0.5517) [1 per cell]  1 Sb 2.00



VASP calculation (PBE+U) on a relaxed La2MgCo2Sb2Pb2O12 crystal.

The excess energy over the best structure of this formula in the dataset comes out at 52.7 meV per atom. As for the total magnetic moment: 4.000 μB per formula unit.

Lattice parameters (Å, degrees): 6.4073 7.2942 7.3831 86.44 88.51 77.74
Last column: nearest neighbours and their distance in Å.
Space group P1 (No. 1)
Inequivalent atoms, fractional coordinates:
La (0.0000, 0.0000, 0.0000) [1 per cell]  6 O 2.35-2.58
La (0.4228, 0.7317, 0.5767) [1 per cell]  4 O 2.35-2.54
Mg (0.1976, 0.3783, 0.0218) [1 per cell]  5 O 2.04-2.20
Co (0.3263, 0.2846, 0.5843) [1 per cell]  2 O 1.91-1.92
Co (0.8954, 0.6314, 0.2801) [1 per cell]  3 O 1.94-2.12
Sb (0.4328, 0.0523, 0.2508) [1 per cell]  6 O 1.99-2.08
Sb (0.9341, 0.6075, 0.7670) [1 per cell]  6 O 1.97-2.18
Pb (0.6081, 0.4994, 0.0894) [1 per cell]  3 O 2.39-2.48
Pb (0.8976, 0.1333, 0.4860) [1 per cell]  3 O 2.33-2.53
O (0.0265, 0.6535, 0.0394) [1 per cell]  1 Co 1.96, 1 Mg 2.08, 1 Sb 2.18
O (0.0281, 0.8524, 0.7037) [1 per cell]  1 Sb 2.03
O (0.1596, 0.9470, 0.3120) [1 per cell]  1 Sb 2.08
O (0.2522, 0.4852, 0.7435) [1 per cell]  1 Co 1.91, 1 Sb 2.05
O (0.2746, 0.3187, 0.2895) [1 per cell]  1 Sb 2.03, 1 Mg 2.05, 1 Co 2.20
O (0.3257, 0.1001, 0.9981) [1 per cell]  1 Sb 1.99, 1 Mg 2.04
O (0.4868, 0.0432, 0.5227) [1 per cell]  1 Co 1.92, 1 Sb 2.04
O (0.5724, 0.7769, 0.2653) [1 per cell]  1 Sb 2.02, 1 Co 2.12
O (0.6348, 0.7136, 0.8349) [1 per cell]  1 Sb 1.97
O (0.7180, 0.1216, 0.1980) [1 per cell]  1 Sb 2.02
O (0.8264, 0.5625, 0.5284) [1 per cell]  1 Co 1.94, 1 Sb 1.98
O (0.9152, 0.3526, 0.8981) [1 per cell]  1 Sb 2.07, 1 Mg 2.10



VASP calculation (PBE+U) on a relaxed La2MgCo2Sb2Pb2O12 crystal.

The excess energy over the best structure of this formula in the dataset comes out at 4.5 meV per atom. As for the total magnetic moment: 5.999 μB per formula unit.

Lattice parameters (Å, degrees): 5.7865 6.5839 8.6160 98.38 92.41 91.61
Last column: nearest neighbours and their distance in Å.
Space group P1 (No. 1)
Inequivalent atoms, fractional coordinates:
La (0.0000, 0.0000, 0.0000) [1 per cell]  5 O 2.39-2.62
La (0.4669, 0.6626, 0.5639) [1 per cell]  7 O 2.36-2.64
Mg (0.5050, 0.3346, 0.2149) [1 per cell]  3 O 1.96-2.01
Co (0.4377, 0.9167, 0.2989) [1 per cell]  4 O 1.92-2.11
Co (0.9517, 0.5711, 0.7564) [1 per cell]  4 O 1.99-2.08
Sb (0.5406, 0.1517, 0.7509) [1 per cell]  3 O 2.00-2.03
Sb (0.9692, 0.5755, 0.2972) [1 per cell]  6 O 1.99-2.11
Pb (0.0063, 0.1784, 0.4982) [1 per cell]  5 O 2.44-2.69
Pb (0.4408, 0.6354, 0.9607) [1 per cell]  2 O 2.25-2.30
O (0.0295, 0.6725, 0.0942) [1 per cell]  1 Sb 1.99
O (0.1593, 0.8237, 0.4034) [1 per cell]  1 Co 2.00, 1 Sb 2.02
O (0.2039, 0.7865, 0.8008) [1 per cell]  1 Co 1.99
O (0.2539, 0.4209, 0.3528) [1 per cell]  1 Mg 1.96, 1 Sb 2.04
O (0.3636, 0.3932, 0.7039) [1 per cell]  1 Sb 2.00
O (0.3800, 0.0545, 0.1208) [1 per cell]  1 Co 1.92, 1 Mg 2.01
O (0.5840, 0.0337, 0.5239) [1 per cell]  1 Sb 2.03, 1 Co 2.11
O (0.6329, 0.6639, 0.2825) [1 per cell]  1 Co 2.03, 1 Sb 2.05, 1 Mg 2.26
O (0.7144, 0.7800, 0.8211) [1 per cell]  1 Co 2.01
O (0.8412, 0.2868, 0.2078) [1 per cell]  1 Mg 1.98, 1 Sb 2.05
O (0.8590, 0.5246, 0.5186) [1 per cell]  1 Co 2.07, 1 Sb 2.11
O (0.8634, 0.2743, 0.7926) [1 per cell]  1 Sb 2.01, 1 Co 2.08



VASP calculation (PBE+U) on a relaxed La2MgCo2Sb2Pb2O12 crystal.

The excess energy over the best structure of this formula in the dataset comes out at 0.0 meV per atom. As for the total magnetic moment: 4.000 μB per formula unit.

Lattice parameters (Å, degrees): 5.8309 5.9002 9.1608 86.89 83.23 86.90
Last column: nearest neighbours and their distance in Å.
Space group P1 (No. 1)
Inequivalent atoms, fractional coordinates:
La (0.0000, 0.0000, 0.0000) [1 per cell]  7 O 2.40-2.68
La (0.4611, 0.6049, 0.4600) [1 per cell]  4 O 2.31-2.50
Mg (0.4239, 0.0495, 0.2370) [1 per cell]  4 O 2.04-2.13
Co (0.0592, 0.5766, 0.8036) [1 per cell]  5 O 1.92-2.14
Co (0.8470, 0.9964, 0.3530) [1 per cell]  3 O 1.92-2.02
Sb (0.0022, 0.5349, 0.2409) [1 per cell]  6 O 1.99-2.09
Sb (0.5324, 0.0347, 0.7854) [1 per cell]  3 O 2.02-2.07
Pb (0.0417, 0.1715, 0.5999) [1 per cell]  2 O 2.22-2.33
Pb (0.5511, 0.5103, 0.0133) [1 per cell]  5 O 2.46-2.73
O (0.1219, 0.5898, 0.0287) [1 per cell]  1 Sb 2.00, 1 Co 2.14
O (0.1519, 0.8344, 0.2854) [1 per cell]  1 Co 2.02, 1 Mg 2.08, 1 Sb 2.09
O (0.2405, 0.8678, 0.7661) [1 per cell]  1 Sb 2.04, 1 Co 2.06
O (0.2784, 0.4188, 0.6662) [1 per cell]  1 Co 1.92
O (0.2959, 0.3690, 0.2831) [1 per cell]  1 Sb 1.99, 1 Mg 2.04
O (0.4185, 0.0772, 0.0049) [1 per cell]  1 Sb 2.07, 1 Mg 2.13
O (0.5333, 0.9866, 0.4425) [1 per cell]  1 Co 1.92, 1 Mg 2.07
O (0.7259, 0.7563, 0.1979) [1 per cell]  1 Sb 2.08, 1 Co 2.26
O (0.7619, 0.7874, 0.8450) [1 per cell]  1 Sb 2.02, 1 Co 2.09
O (0.8382, 0.2536, 0.1984) [1 per cell]  1 Co 2.02, 1 Sb 2.04
O (0.8642, 0.5146, 0.4506) [1 per cell]  1 Sb 1.99
O (0.8832, 0.2933, 0.8291) [1 per cell]  1 Co 2.00



Q: What is the formula in the fourth record?
A: La2MgCo2Sb2Pb2O12



Repeat the fourth record exactly.
VASP calculation (PBE+U) on a relaxed La2MgCo2Sb2Pb2O12 crystal.

The excess energy over the best structure of this formula in the dataset comes out at 4.5 meV per atom. As for the total magnetic moment: 5.999 μB per formula unit.

Lattice parameters (Å, degrees): 5.7865 6.5839 8.6160 98.38 92.41 91.61
Last column: nearest neighbours and their distance in Å.
Space group P1 (No. 1)
Inequivalent atoms, fractional coordinates:
La (0.0000, 0.0000, 0.0000) [1 per cell]  5 O 2.39-2.62
La (0.4669, 0.6626, 0.5639) [1 per cell]  7 O 2.36-2.64
Mg (0.5050, 0.3346, 0.2149) [1 per cell]  3 O 1.96-2.01
Co (0.4377, 0.9167, 0.2989) [1 per cell]  4 O 1.92-2.11
Co (0.9517, 0.5711, 0.7564) [1 per cell]  4 O 1.99-2.08
Sb (0.5406, 0.1517, 0.7509) [1 per cell]  3 O 2.00-2.03
Sb (0.9692, 0.5755, 0.2972) [1 per cell]  6 O 1.99-2.11
Pb (0.0063, 0.1784, 0.4982) [1 per cell]  5 O 2.44-2.69
Pb (0.4408, 0.6354, 0.9607) [1 per cell]  2 O 2.25-2.30
O (0.0295, 0.6725, 0.0942) [1 per cell]  1 Sb 1.99
O (0.1593, 0.8237, 0.4034) [1 per cell]  1 Co 2.00, 1 Sb 2.02
O (0.2039, 0.7865, 0.8008) [1 per cell]  1 Co 1.99
O (0.2539, 0.4209, 0.3528) [1 per cell]  1 Mg 1.96, 1 Sb 2.04
O (0.3636, 0.3932, 0.7039) [1 per cell]  1 Sb 2.00
O (0.3800, 0.0545, 0.1208) [1 per cell]  1 Co 1.92, 1 Mg 2.01
O (0.5840, 0.0337, 0.5239) [1 per cell]  1 Sb 2.03, 1 Co 2.11
O (0.6329, 0.6639, 0.2825) [1 per cell]  1 Co 2.03, 1 Sb 2.05, 1 Mg 2.26
O (0.7144, 0.7800, 0.8211) [1 per cell]  1 Co 2.01
O (0.8412, 0.2868, 0.2078) [1 per cell]  1 Mg 1.98, 1 Sb 2.05
O (0.8590, 0.5246, 0.5186) [1 per cell]  1 Co 2.07, 1 Sb 2.11
O (0.8634, 0.2743, 0.7926) [1 per cell]  1 Sb 2.01, 1 Co 2.08